Compound: LiTlRe2
Source: the Alexandria database
Functional: PBE-GGA
Structure: optimized geometry

a b c (Å): 3.7563 3.7563 20.0223
angles (deg): 90.00 90.00 90.00
Space group I-42d (No. 122)
Asymmetric unit:
1 Li 0.0000 0.0000 0.0000 x4
2 Tl 0.0000 0.0000 0.5000 x4
3 Re 0.2072 0.2500 0.1250 x8

Computed properties:
* final energy: -0.2404 Ha/atom
* D(E_F): 0.5538 states/eV per atom
* formation energy: 0.7532 eV per atom
* energy above the most stable polymorph in this dataset: 482.8 meV/atom

Compound: ZnFeNi2
Source: the Alexandria database
Functional: PBE-GGA
Structure: optimized geometry

a b c (Å): 2.5550 2.5550 24.8406
angles (deg): 90.00 90.00 120.00
Space group R3m (No. 160, hexagonal axes)
Asymmetric unit:
1 Zn 0.0000 0.0000 0.0000 x3
2 Fe 0.0000 0.0000 0.2448 x3
3 Ni 0.0000 0.0000 0.4981 x3
4 Ni 0.0000 0.0000 0.7495 x3

Computed properties:
* final energy: -0.1964 Ha/atom
* D(E_F): 0.8365 states/eV per atom
* formation energy: -0.0207 eV per atom